[1]
This record from Alexandria via LeMat-Bulk describes an optimized crystal structure of Mo2Pb. The functional is PBE.

```
9
Lattice="4.008 -6.942 0.000 4.008 6.942 0.000 0.000 0.000 2.964" Properties=species:S:1:pos:R:3 pbc="T T T"
Mo 1.242 -2.152 0.000
Mo 1.242 2.152 0.000
Mo 5.531 0.000 0.000
Mo 2.577 -4.463 1.482
Mo 2.577 4.463 1.482
Mo 2.862 0.000 1.482
Pb 4.008 2.314 0.000
Pb 4.008 -2.314 0.000
Pb 0.000 0.000 1.482
```

Symmetry: P-62m (189)
Total magnetic moment: 0.00 μB per cell
VASP energy: -7.72 eV per atom


[2]
This record from Alexandria via LeMat-Bulk describes an optimized crystal structure of MoPb3. The functional is PBE.

```
4
Lattice="-9.496 3.680 -4.349 -7.957 2.833 -7.162 -9.632 0.550 -5.436" Properties=species:S:1:pos:R:3 pbc="T T T"
Mo 0.000 0.000 0.000
Pb -19.946 5.201 -12.480
Pb -13.543 3.531 -8.474
Pb -7.140 1.862 -4.467
```

Symmetry: R-3m (166)
Total magnetic moment: 0.30 μB per cell
VASP energy: -5.00 eV per atom


[3]
This record from Alexandria via LeMat-Bulk describes an optimized crystal structure of Mo2Pb. The functional is PBE.

```
3
Lattice="-1.654 1.654 5.065 1.654 -1.654 5.065 1.654 1.654 -5.065" Properties=species:S:1:pos:R:3 pbc="T T T"
Mo 0.000 0.000 6.918
Mo 0.000 0.000 3.212
Pb 0.000 0.000 0.000
```

Symmetry: I4/mmm (139)
Total magnetic moment: 0.00 μB per cell
VASP energy: -7.94 eV per atom


[4]
This record from Alexandria via LeMat-Bulk describes an optimized crystal structure of MoPb3. The functional is PBE.

```
4
Lattice="5.700 -0.387 0.000 2.060 5.328 0.000 -3.880 -2.471 3.388" Properties=species:S:1:pos:R:3 pbc="T T T"
Mo 0.000 0.000 0.000
Pb 1.030 2.664 1.694
Pb 3.880 2.471 0.000
Pb 2.850 -0.193 1.694
```

Symmetry: I4/mmm (139)
Total magnetic moment: 3.00 μB per cell
VASP energy: -4.76 eV per atom


[5]
This record from Alexandria via LeMat-Bulk describes an optimized crystal structure of Mo2Pb. The functional is PBE.

```
3
Lattice="3.203 0.000 0.000 -1.601 2.774 0.000 0.000 0.000 6.976" Properties=species:S:1:pos:R:3 pbc="T T T"
Mo 1.601 0.925 4.325
Mo 0.000 1.849 2.651
Pb 0.000 0.000 0.000
```

Symmetry: P-3m1 (164)
Total magnetic moment: 0.00 μB per cell
VASP energy: -7.93 eV per atom


[6]
This record from Alexandria via LeMat-Bulk describes an optimized crystal structure of MoPb3. The functional is PBE.

```
16
Lattice="5.843 0.000 0.000 0.000 7.735 0.000 0.000 0.000 8.992" Properties=species:S:1:pos:R:3 pbc="T T T"
Pb 0.645 0.143 6.744
Pb 3.566 3.724 2.248
Pb 2.277 4.010 6.744
Pb 5.198 7.592 2.248
Pb 3.669 1.368 8.514
Pb 0.748 2.499 0.478
Pb 5.096 5.236 4.975
Pb 2.174 6.367 4.018
Pb 2.174 6.367 0.478
Pb 5.096 5.236 8.514
Pb 0.748 2.499 4.018
Pb 3.669 1.368 4.975
Mo 3.324 6.729 6.744
Mo 0.403 4.873 2.248
Mo 5.440 2.862 6.744
Mo 2.519 1.006 2.248
```

Symmetry: Pnma (62)
Total magnetic moment: 0.00 μB per cell
VASP energy: -5.03 eV per atom


[7]
This record from Alexandria via LeMat-Bulk describes an optimized crystal structure of Mo2Pb. The functional is PBE.

```
6
Lattice="1.592 -7.466 0.000 1.592 7.466 0.000 0.000 0.000 5.106" Properties=species:S:1:pos:R:3 pbc="T T T"
Mo 1.592 -1.329 3.829
Mo 1.592 -6.908 3.829
Mo 1.592 6.908 1.276
Mo 1.592 1.329 1.276
Pb 1.592 3.147 3.829
Pb 1.592 -3.147 1.276
```

Symmetry: Cmcm (63)
Total magnetic moment: 0.00 μB per cell
VASP energy: -7.91 eV per atom


[8]
This record from Alexandria via LeMat-Bulk describes an optimized crystal structure of MoPb3. The functional is PBE.

```
8
Lattice="-5.123 -2.246 -3.036 4.346 -4.268 -1.845 -1.106 -2.843 3.970" Properties=species:S:1:pos:R:3 pbc="T T T"
Mo -2.624 -5.089 0.361
Mo 0.740 -4.268 -1.271
Pb 2.340 -6.149 0.985
Pb -4.224 -3.208 -1.895
Pb -0.279 -7.022 -0.370
Pb -1.605 -2.335 -0.540
Pb -1.938 -5.129 -2.633
Pb 0.055 -4.228 1.723
```

Symmetry: Cmcm (63)
Total magnetic moment: 0.00 μB per cell
VASP energy: -4.79 eV per atom


[9]
This record from Alexandria via LeMat-Bulk describes an optimized crystal structure of Mo7Pb. The functional is PBE.

```
8
Lattice="0.000 4.061 4.061 4.061 0.000 4.061 4.061 4.061 0.000" Properties=species:S:1:pos:R:3 pbc="T T T"
Mo 2.031 2.031 4.061
Mo 2.031 4.061 2.031
Mo 0.000 2.031 2.031
Mo 2.031 2.031 0.000
Mo 2.031 0.000 2.031
Mo 4.061 2.031 2.031
Mo 4.061 4.061 4.061
Pb 0.000 0.000 0.000
```

Symmetry: Fm-3m (225)
Total magnetic moment: 0.00 μB per cell
VASP energy: -9.42 eV per atom


[10]
This record from Alexandria via LeMat-Bulk describes an optimized crystal structure of Mo3Pb4. The functional is PBE.

```
7
Lattice="2.732 -4.732 0.000 2.732 4.732 0.000 0.000 0.000 6.180" Properties=species:S:1:pos:R:3 pbc="T T T"
Mo 1.366 2.366 0.000
Mo 2.732 0.000 0.000
Mo 1.366 -2.366 0.000
Pb 0.000 0.000 1.500
Pb 0.000 0.000 4.680
Pb 2.732 -1.577 3.090
Pb 2.732 1.577 3.090
```

Symmetry: P6/mmm (191)
Total magnetic moment: 0.00 μB per cell
VASP energy: -6.10 eV per atom


[11]
This record from Alexandria via LeMat-Bulk describes an optimized crystal structure of Mo2Pb. The functional is PBE.

```
6
Lattice="0.000 3.867 3.867 3.867 0.000 3.867 3.867 3.867 0.000" Properties=species:S:1:pos:R:3 pbc="T T T"
Mo 0.967 2.900 2.900
Mo 2.900 0.967 2.900
Mo 2.900 2.900 0.967
Mo 0.967 0.967 0.967
Pb 3.867 3.867 3.867
Pb 5.800 5.800 5.800
```

Symmetry: Fd-3m (227)
Total magnetic moment: 0.00 μB per cell
VASP energy: -7.82 eV per atom


[12]
This record from Alexandria via LeMat-Bulk describes an optimized crystal structure of MoPb3. The functional is PBE.

```
4
Lattice="5.698 -0.003 0.018 0.721 5.652 -0.018 -1.921 -4.289 3.223" Properties=species:S:1:pos:R:3 pbc="T T T"
Mo 0.316 -0.359 0.271
Pb 0.969 -1.101 2.949
Pb -0.002 2.475 1.064
Pb 3.244 0.314 1.081
```

Symmetry: Imm2 (44)
Total magnetic moment: 0.01 μB per cell
VASP energy: -5.01 eV per atom


[13]
This record from Alexandria via LeMat-Bulk describes an optimized crystal structure of MoPb3. The functional is PBE.

```
4
Lattice="5.330 0.000 0.000 2.665 4.616 0.000 2.665 1.539 4.352" Properties=species:S:1:pos:R:3 pbc="T T T"
Mo 0.000 0.000 0.000
Pb 2.665 1.539 1.088
Pb 5.330 3.077 2.176
Pb 7.995 4.616 3.264
```

Symmetry: Fm-3m (225)
Total magnetic moment: 2.96 μB per cell
VASP energy: -4.71 eV per atom


[14]
This record from Alexandria via LeMat-Bulk describes an optimized crystal structure of Mo4Pb. The functional is PBE.

```
5
Lattice="-1.170 -4.340 2.024 1.470 -2.309 -4.101 4.558 -0.370 1.842" Properties=species:S:1:pos:R:3 pbc="T T T"
Pb 2.429 -3.509 -0.117
Mo 0.000 0.000 0.000
Mo 1.694 -2.355 1.933
Mo 3.014 -1.339 -1.129
Mo 0.150 -3.324 -1.038
```

Symmetry: Pm-3m (221)
Total magnetic moment: 1.24 μB per cell
VASP energy: -6.50 eV per atom


[15]
This record from Alexandria via LeMat-Bulk describes an optimized crystal structure of MoPb3. The functional is PBE.

```
4
Lattice="-1.810 -4.210 1.278 1.245 -1.816 -4.217 4.220 -1.270 1.793" Properties=species:S:1:pos:R:3 pbc="T T T"
Mo 0.000 0.000 0.000
Pb 2.732 -1.543 -1.212
Pb 1.205 -2.740 1.535
Pb -0.282 -3.013 -1.469
```

Symmetry: Pm-3m (221)
Total magnetic moment: 3.41 μB per cell
VASP energy: -4.76 eV per atom


[16]
This record from Alexandria via LeMat-Bulk describes an optimized crystal structure of Mo2Pb. The functional is PBE.

```
6
Lattice="2.401 -4.158 0.000 2.401 4.158 0.000 0.000 0.000 5.525" Properties=species:S:1:pos:R:3 pbc="T T T"
Mo 0.000 0.000 0.000
Mo 0.000 0.000 2.762
Mo 2.401 1.386 1.381
Mo 2.401 -1.386 4.144
Pb 2.401 -1.386 1.381
Pb 2.401 1.386 4.144
```

Symmetry: P6_3/mmc (194)
Total magnetic moment: 0.00 μB per cell
VASP energy: -7.62 eV per atom


[17]
This record from Alexandria via LeMat-Bulk describes an optimized crystal structure of Mo8Pb. The functional is PBE.

```
9
Lattice="-1.609 1.033 5.916 -2.044 1.590 -5.652 -1.557 -6.014 -0.231" Properties=species:S:1:pos:R:3 pbc="T T T"
Mo -1.754 1.219 2.053
Mo -1.899 1.404 -1.789
Mo -2.372 -2.914 -3.875
Mo -2.260 -3.141 -0.066
Mo -2.085 -3.281 3.745
Mo -2.950 -0.251 0.099
Mo -1.229 -1.510 -2.008
Mo -1.081 -1.700 1.940
Pb 0.000 0.000 0.000
```

Symmetry: I4/mmm (139)
Total magnetic moment: 0.00 μB per cell
VASP energy: -9.59 eV per atom


[18]
This record from Alexandria via LeMat-Bulk describes an optimized crystal structure of Mo2Pb. The functional is PBE.

```
3
Lattice="-0.310 0.564 3.597 3.051 -1.930 0.565 2.585 3.969 -0.399" Properties=species:S:1:pos:R:3 pbc="T T T"
Mo 2.818 1.020 0.083
Mo 1.138 2.267 1.599
Pb 0.000 0.000 0.000
```

Symmetry: P4/mmm (123)
Total magnetic moment: 0.00 μB per cell
VASP energy: -7.61 eV per atom


[19]
This record from Alexandria via LeMat-Bulk describes an optimized crystal structure of MoPb3. The functional is PBE.

```
4
Lattice="3.424 0.000 0.000 0.000 5.295 0.000 0.000 0.000 5.793" Properties=species:S:1:pos:R:3 pbc="T T T"
Mo 0.000 0.000 0.094
Pb 1.712 0.000 2.856
Pb 1.712 2.648 4.895
Pb 0.000 2.648 1.810
```

Symmetry: Pmm2 (25)
Total magnetic moment: 2.53 μB per cell
VASP energy: -4.75 eV per atom


[20]
This record from Alexandria via LeMat-Bulk describes an optimized crystal structure of Mo2Pb. The functional is PBE.

```
6
Lattice="1.602 5.803 -0.015 -1.602 5.803 -0.015 0.000 1.844 6.248" Properties=species:S:1:pos:R:3 pbc="T T T"
Mo 0.000 10.516 3.678
Mo 0.000 6.176 2.073
Mo 0.000 7.273 4.146
Mo 0.000 2.934 2.540
Pb 0.000 3.402 5.899
Pb 0.000 10.047 0.320
```

Symmetry: C2/m (12)
Total magnetic moment: 0.00 μB per cell
VASP energy: -7.95 eV per atom